1.
# PBEsol MnAs3Pb3O9, relaxed
# - Magnetization: 8.00 μB/cell
# - Energy: -0.240 Ha/atom
# - E_form (uncorrected): -1.249 eV per atom
data_MnAs3Pb3O9
_cell_length_a 7.124
_cell_length_b 6.541
_cell_length_c 12.380
_cell_angle_alpha 90.00
_cell_angle_beta 119.99
_cell_angle_gamma 90.00
_symmetry_space_group_name_H-M 'P 1 c 1'
_symmetry_Int_Tables_number 7
loop_
_symmetry_equiv_pos_as_xyz
'x,y,z'
'x,-y,z+1/2'
loop_
_atom_site_label
_atom_site_fract_x
_atom_site_fract_y
_atom_site_fract_z
Mn1 0.000 0.014 0.000
As1 0.060 0.208 0.268
As2 0.173 0.481 0.057
As3 0.468 0.116 0.743
Pb1 0.537 0.139 0.037
Pb2 0.644 0.379 0.350
Pb3 0.975 0.297 0.751
O1 0.090 0.007 0.377
O2 0.284 0.473 0.960
O3 0.331 0.095 0.141
O4 0.627 0.175 0.674
O5 0.654 0.034 0.378
O6 0.800 0.322 0.227
O7 0.942 0.033 0.135
O8 0.946 0.307 0.962
O9 0.993 0.287 0.508

=====

2.
# PBEsol MnAsSe2O, relaxed
# - Magnetization: 0.66 μB/cell
# - Energy: -0.180 Ha/atom
# - E_form (uncorrected): 0.675 eV per atom
data_MnAsSe2O
_cell_length_a 4.510
_cell_length_b 4.510
_cell_length_c 4.558
_cell_angle_alpha 90.00
_cell_angle_beta 90.00
_cell_angle_gamma 90.00
_symmetry_space_group_name_H-M 'P 4/m m m'
_symmetry_Int_Tables_number 123
_symmetry_space_group_name_Hall '-P 4 2'
loop_
_atom_site_label
_atom_site_fract_x
_atom_site_fract_y
_atom_site_fract_z
Mn1 0.000 0.000 0.000
As1 0.000 0.000 0.500
Se1 0.000 0.500 0.000
O1 0.500 0.500 0.500

=====

3.
# PBEsol Mn3Zn3As4O16, relaxed
# - Magnetization: 30.00 μB/cell
# - Energy: -0.242 Ha/atom
# - E_form (uncorrected): -1.269 eV per atom
data_Mn3Zn3As4O16
_cell_length_a 8.432
_cell_length_b 5.231
_cell_length_c 15.889
_cell_angle_alpha 90.00
_cell_angle_beta 109.57
_cell_angle_gamma 90.00
_symmetry_space_group_name_H-M 'P 1 21/c 1'
_symmetry_Int_Tables_number 14
loop_
_symmetry_equiv_pos_as_xyz
'x,y,z'
'-x,-y,-z'
'-x,y+1/2,-z+1/2'
'x,-y+1/2,z+1/2'
loop_
_atom_site_label
_atom_site_fract_x
_atom_site_fract_y
_atom_site_fract_z
Mn1 0.000 0.000 0.000
Mn2 0.295 0.020 0.622
Zn1 0.204 0.579 0.718
Zn2 0.500 0.000 0.500
As1 0.088 0.011 0.392
As2 0.465 0.505 0.355
O1 0.004 0.716 0.397
O2 0.076 0.717 0.102
O3 0.114 0.096 0.295
O4 0.249 0.093 0.488
O5 0.320 0.578 0.252
O6 0.339 0.097 0.151
O7 0.409 0.683 0.429
O8 0.489 0.181 0.376

=====

no.,N(E_F) (states/eV per atom),theoretical density (g/cm3)
1,0.043,6.95
2,1.008,5.44
3,0.095,4.61